Record 1
TbY3TmTh | PBE | optimized geometry

```
data_TbY3TmTh
_chemical_formula_sum 'Tb2 Y6 Tm2 Th2'
_symmetry_space_group_name_H-M 'P 1 21/m 1'
_symmetry_Int_Tables_number 11
_cell_length_a 7.958
_cell_length_b 5.054
_cell_length_c 10.067
_cell_angle_alpha 90.00
_cell_angle_beta 108.54
_cell_angle_gamma 90.00
loop_
_symmetry_equiv_pos_as_xyz
'x,y,z'
'-x,-y,-z'
'-x,y+1/2,-z'
'x,-y+1/2,z'
loop_
_atom_site_label
_atom_site_type_symbol
_atom_site_fract_x
_atom_site_fract_y
_atom_site_fract_z
Tb1 Tb 0.171 0.250 0.293
Y1 Y 0.170 0.750 0.543
Y2 Y 0.175 0.250 0.792
Y3 Y 0.175 0.750 0.045
Tm1 Tm 0.500 0.250 0.627
Th1 Th 0.499 0.250 0.123
```

Calculated values
* crystal system: monoclinic
* formation energy: 2.8 kJ per mole of atoms
* N(E_F): 9.45 states/eV/f.u.


Record 2
Ac2NdCdO6 | PBE | optimized geometry

```
data_Ac2NdCdO6
_chemical_formula_sum 'Ac6 Nd3 Cd3 O18'
_symmetry_space_group_name_H-M 'R 3'
_symmetry_Int_Tables_number 146
_symmetry_space_group_name_Hall 'R 3'
_cell_length_a 6.2172
_cell_length_b 6.2172
_cell_length_c 15.7299
_cell_angle_alpha 90.00
_cell_angle_beta 90.00
_cell_angle_gamma 120.00
loop_
_atom_site_label
_atom_site_type_symbol
_atom_site_fract_x
_atom_site_fract_y
_atom_site_fract_z
Ac1 Ac 0.0000 0.0000 0.0000
Ac2 Ac 0.0000 0.0000 0.4997
Nd1 Nd 0.0000 0.0000 0.2256
Cd1 Cd 0.0000 0.0000 0.7222
O1 O 0.0649 0.6983 0.2859
O2 O 0.0664 0.3649 0.7870
```

Calculated values
* crystal system: trigonal
* ΔE_f (raw): -250.0 kJ per mole of atoms
* N(E_F): 7.76 states/eV/f.u.


Record 3
KNaAsH | PBE | optimized geometry

```
data_KNaAsH
_chemical_formula_sum 'K1 Na1 As1 H1'
_symmetry_space_group_name_H-M 'P 3 m 1'
_symmetry_Int_Tables_number 156
_cell_length_a 5.1235
_cell_length_b 5.1235
_cell_length_c 4.4061
_cell_angle_alpha 90.00
_cell_angle_beta 90.00
_cell_angle_gamma 120.00
loop_
_symmetry_equiv_pos_as_xyz
'x,y,z'
'-y,x-y,z'
'-x+y,-x,z'
'-y,-x,z'
'-x+y,y,z'
'x,x-y,z'
loop_
_atom_site_label
_atom_site_type_symbol
_atom_site_fract_x
_atom_site_fract_y
_atom_site_fract_z
K1 K 0.0000 0.0000 0.0000
Na1 Na 0.3333 0.6667 0.4931
As1 As 0.6667 0.3333 0.4900
H1 H 0.6667 0.3333 0.8461
```

Calculated values
* raw total energy: -11.759 eV per cell
* crystal system: trigonal


Calculated volume values, unit Å³/f.u., following the record order: 191.9, 175.5, 100.2.